(1)
VASP calculation (SCAN) on a crystal of SrThP2S8 relaxed with PBEsol.

abc: 11.041 11.041 9.568
angles: 90.00 90.00 90.00
Space group P4_2/mbc (No. 135)
One atom of each set of equivalent atoms:
Sr  0.000  0.500  0.250 x4
Th  0.000  0.000  0.250 x4
P  0.036  0.241  0.000 x8
S  0.070  0.764  0.176 x16
S  0.082  0.864  0.500 x8
S  0.108  0.362  0.500 x8

E ... -19.229 eV per atom
E_form (uncorrected) ... -1.227 eV/atom

(2)
VASP calculation (SCAN) on a crystal of MgTlPb2 relaxed with PBEsol.

abc: 4.802 4.802 9.529
angles: 90.00 90.00 90.00
Space group I-4m2 (No. 119)
One atom of each set of equivalent atoms:
Mg  0.000  0.000  0.000 x2
Tl  0.000  0.500  0.750 x2
Pb  0.000  0.000  0.500 x2
Pb  0.000  0.500  0.250 x2

Calculated formation energy ... -0.024 eV per atom
E ... -57.248 eV per atom

(3)
VASP calculation (SCAN) on a crystal of La2CuNiW relaxed with PBEsol.

abc: 5.296 5.296 4.236
angles: 90.00 90.00 90.00
Space group P4/mmm (No. 123)
One atom of each set of equivalent atoms:
La  0.000  0.500  0.000 x2
Cu  0.000  0.000  0.000 x1
Ni  0.000  0.000  0.500 x1
W  0.500  0.500  0.500 x1

Calculated formation energy ... 0.985 eV per atom
E ... -36.469 eV per atom

(4)
VASP calculation (SCAN) on a crystal of ScCo2Hg relaxed with PBEsol.

abc: 6.227 6.227 6.227
angles: 90.00 90.00 90.00
Space group F-43m (No. 216)
One atom of each set of equivalent atoms:
Sc  0.000  0.000  0.000 x4
Co  0.000  0.000  0.500 x4
Co  0.250  0.250  0.750 x4
Hg  0.250  0.250  0.250 x4

Calculated formation energy ... -0.047 eV per atom
E ... -29.300 eV per atom